1.
This record from the Alexandria database describes crystalline ThTlAu at its relaxed geometry. The functional is PBE.

a = 3.496 Å, b = 4.991 Å, c = 4.991 Å
α = 120.00°, β = 90.00°, γ = 90.00°
Fractional coordinates of all 3 atoms:
1 Tl 0.167 0.000 0.000
2 Au 0.166 0.333 0.667
3 Th 0.667 0.667 0.333

Calculated values
- ΔH_f (0 K): -375 meV/atom
- Total moment: 0.000 Bohr magnetons per cell

2.
This record from the Alexandria database describes crystalline SmEr3Tl4S8 at its relaxed geometry. The functional is PBE.

a = 8.057 Å, b = 8.843 Å, c = 8.056 Å
α = 117.10°, β = 120.00°, γ = 90.00°
Fractional coordinates of all 16 atoms:
1 Sm 0.000 0.500 0.000
2 Er 0.500 0.500 0.000
3 Er 0.500 0.500 0.500
4 Er 0.000 0.500 0.500
5 Tl 0.500 0.000 0.000
6 Tl 0.500 0.000 0.500
7 Tl 0.000 0.000 0.000
8 Tl 0.000 0.000 0.500
9 S 0.236 0.698 0.962
10 S 0.236 0.698 0.472
11 S 0.268 0.305 0.536
12 S 0.726 0.698 0.962
13 S 0.274 0.302 0.038
14 S 0.732 0.695 0.464
15 S 0.764 0.302 0.528
16 S 0.764 0.302 0.038

Calculated values
- Total moment: 0.000 Bohr magnetons per cell
- E_form (uncorrected): -1482 meV per atom

3.
This record from the Alexandria database describes crystalline KLiBe2 at its relaxed geometry. The functional is PBE.

a = 3.199 Å, b = 3.199 Å, c = 7.589 Å
α = 90.00°, β = 90.00°, γ = 90.00°
Fractional coordinates of all 4 atoms:
1 Be 0.000 0.000 0.895
2 Be 0.000 0.000 0.605
3 K 0.500 0.500 0.250
4 Li 0.500 0.500 0.750

Calculated values
- ΔH_f (0 K): 737 meV/atom
- Total moment: 0.000 Bohr magnetons per cell

4.
This record from the Alexandria database describes crystalline Sc4Tl at its relaxed geometry. The functional is PBE.

a = 6.128 Å, b = 6.128 Å, c = 8.127 Å
α = 99.65°, β = 99.65°, γ = 123.73°
Fractional coordinates of all 10 atoms:
1 Sc 0.683 0.591 0.803
2 Sc 0.788 0.880 0.197
3 Sc 0.691 0.142 0.904
4 Sc 0.239 0.787 0.096
5 Sc 0.392 0.441 0.404
6 Sc 0.037 0.989 0.596
7 Sc 0.130 0.538 0.697
8 Sc 0.841 0.433 0.303
9 Tl 0.251 0.251 0.000
10 Tl 0.501 0.001 0.500

Calculated values
- ΔH_f (0 K): -84 meV/atom
- Total moment: 0.001 Bohr magnetons per cell

5.
This record from the Alexandria database describes crystalline Pm2Sn2Hg3 at its relaxed geometry. The functional is PBE.

a = 4.285 Å, b = 4.284 Å, c = 11.030 Å
α = 101.20°, β = 90.00°, γ = 90.00°
Fractional coordinates of all 7 atoms:
1 Pm 0.000 0.841 0.681
2 Pm 0.000 0.159 0.319
3 Sn 0.500 0.705 0.410
4 Sn 0.500 0.295 0.590
5 Hg 0.500 0.567 0.133
6 Hg 0.500 0.433 0.867
7 Hg 0.000 0.000 0.000

Calculated values
- ΔH_f (0 K): -364 meV/atom
- Total moment: 0.000 Bohr magnetons per cell

6.
This record from the Alexandria database describes crystalline K4PdCl5 at its relaxed geometry. The functional is PBE.

a = 6.409 Å, b = 7.509 Å, c = 7.509 Å
α = 79.51°, β = 64.74°, γ = 64.74°
Fractional coordinates of all 10 atoms:
1 K 0.406 0.389 0.801
2 K 0.795 0.801 0.611
3 K 0.207 0.199 0.389
4 K 0.596 0.611 0.199
5 Pd 0.001 0.000 0.000
6 Cl 0.917 0.349 0.819
7 Cl 0.266 0.819 0.651
8 Cl 0.736 0.181 0.349
9 Cl 0.085 0.651 0.181
10 Cl 0.500 0.000 0.000

Calculated values
- Total moment: 1.002 Bohr magnetons per cell
- E_form (uncorrected): -1499 meV per atom

7.
This record from the Alexandria database describes crystalline Co3Ni4Rh2 at its relaxed geometry. The functional is PBE.

a = 3.617 Å, b = 4.437 Å, c = 7.686 Å
α = 107.17°, β = 90.00°, γ = 114.06°
Fractional coordinates of all 9 atoms:
1 Co 0.662 0.323 0.551
2 Co 0.000 0.000 0.000
3 Co 0.338 0.677 0.449
4 Ni 0.333 0.665 0.111
5 Ni 0.000 0.000 0.664
6 Ni 0.000 0.000 0.336
7 Ni 0.667 0.335 0.889
8 Rh 0.667 0.335 0.225
9 Rh 0.333 0.665 0.775

Calculated values
- ΔH_f (0 K): 22 meV/atom
- Total moment: 9.928 Bohr magnetons per cell

8.
This record from the Alexandria database describes crystalline CsIn2HgPt at its relaxed geometry. The functional is PBE.

a = 5.317 Å, b = 5.317 Å, c = 5.547 Å
α = 90.00°, β = 90.00°, γ = 90.00°
Fractional coordinates of all 5 atoms:
1 Cs 0.500 0.500 0.500
2 Hg 0.000 0.000 0.500
3 Pt 0.000 0.000 0.000
4 In 0.000 0.500 0.000
5 In 0.500 0.000 0.000

Calculated values
- ΔH_f (0 K): -232 meV/atom
- Total moment: 0.000 Bohr magnetons per cell

9.
This record from the Alexandria database describes crystalline LiCaPaO4 at its relaxed geometry. The functional is PBE.

a = 6.801 Å, b = 6.868 Å, c = 6.868 Å
α = 61.55°, β = 60.32°, γ = 60.32°
Fractional coordinates of all 14 atoms:
1 Li 0.674 0.576 0.076
2 Li 0.326 0.424 0.924
3 Ca 0.500 0.000 0.500
4 Ca 0.000 0.000 0.500
5 Pa 0.000 0.000 0.000
6 Pa 0.000 0.500 0.500
7 O 0.781 0.732 0.707
8 O 0.219 0.793 0.768
9 O 0.781 0.207 0.232
10 O 0.219 0.268 0.293
11 O 0.197 0.757 0.257
12 O 0.789 0.757 0.257
13 O 0.211 0.243 0.743
14 O 0.803 0.243 0.743

Calculated values
- Total moment: 0.000 Bohr magnetons per cell
- E_form (uncorrected): -3041 meV per atom

10.
This record from the Alexandria database describes crystalline CeCdH8Pt2 at its relaxed geometry. The functional is PBE.

a = 4.884 Å, b = 4.884 Å, c = 6.737 Å
α = 68.75°, β = 68.75°, γ = 60.00°
Fractional coordinates of all 12 atoms:
1 Ce 0.500 0.500 0.500
2 Cd 0.000 0.000 0.000
3 H 0.170 0.170 0.491
4 H 0.596 0.290 0.205
5 H 0.830 0.830 0.509
6 H 0.909 0.596 0.205
7 H 0.091 0.404 0.795
8 H 0.290 0.909 0.205
9 H 0.710 0.091 0.795
10 H 0.404 0.710 0.795
11 Pt 0.257 0.257 0.228
12 Pt 0.743 0.743 0.772

Calculated values
- Total moment: 0.618 Bohr magnetons per cell
- Electronic total energy: -3.879 eV/atom

11.
This record from the Alexandria database describes crystalline Si2PBr at its relaxed geometry. The functional is PBE.

a = 3.232 Å, b = 3.232 Å, c = 7.064 Å
α = 90.00°, β = 90.00°, γ = 90.00°
Fractional coordinates of all 4 atoms:
1 Br 0.500 0.500 0.250
2 P 0.500 0.500 0.750
3 Si 0.000 0.000 0.941
4 Si 0.000 0.000 0.559

Calculated values
- Total moment: 0.000 Bohr magnetons per cell
- E_form (uncorrected): 507 meV per atom

12.
This record from the Alexandria database describes crystalline Sm2Er15Sc2 at its relaxed geometry. The functional is PBE.

a = 8.588 Å, b = 8.588 Å, c = 8.588 Å
α = 80.27°, β = 80.27°, γ = 80.27°
Fractional coordinates of all 19 atoms:
1 Sm 0.324 0.324 0.324
2 Sm 0.676 0.676 0.676
3 Er 0.000 0.000 0.500
4 Er 0.500 0.000 0.000
5 Er 0.000 0.500 0.000
6 Er 0.295 0.705 0.000
7 Er 0.000 0.295 0.705
8 Er 0.705 0.000 0.295
9 Er 0.000 0.705 0.295
10 Er 0.295 0.000 0.705
11 Er 0.705 0.295 0.000
12 Er 0.636 0.636 0.145
13 Er 0.145 0.636 0.636
14 Er 0.636 0.145 0.636
15 Er 0.364 0.364 0.855
16 Er 0.855 0.364 0.364
17 Er 0.364 0.855 0.364
18 Sc 0.092 0.092 0.092
19 Sc 0.908 0.908 0.908

Calculated values
- ΔH_f (0 K): 286 meV/atom
- Total moment: 2.470 Bohr magnetons per cell

- Which of these has the highest total moment?
  Co3Ni4Rh2